Below is a relaxed structure of Ga2AgPb2, with properties calculated at the PBEsol level.

Results
DFT total energy: -3.533 eV/atom
ΔH_f (0 K): 0.065 eV per atom
Calculated density: 9749 kg/m3
Crystal system: tetragonal
Spin magnetization: 0.00 μB per formula unit

Structure (CIF):
```
data_Ga2AgPb2
_chemical_formula_sum 'Ga4 Ag2 Pb4'
_cell_length_a 6.830
_cell_length_b 6.830
_cell_length_c 4.832
_cell_angle_alpha 90.00
_cell_angle_beta 90.00
_cell_angle_gamma 90.00
_space_group_name_H-M_alt 'P 4/m b m'
_space_group_IT_number 127
_space_group_name_Hall '-P 4 2ab'
loop_
_atom_site_label
_atom_site_type_symbol
_atom_site_fract_x
_atom_site_fract_y
_atom_site_fract_z
Ga1 Ga 0.135 0.365 0.000
Ag1 Ag 0.000 0.000 0.000
Pb1 Pb 0.177 0.677 0.500
```